## ReSI (PBE-GGA)

Data for ReSI after structural relaxation.

Cell: 3.599 7.265 7.304 Å, 98.45 104.25 90.37°
Element x y z (fractional)
I: 0.052 0.131 0.162
I: 0.481 0.567 0.010
Re: 0.875 0.312 0.804
Re: 0.233 0.283 0.520
S: 0.751 0.489 0.551
S: 0.343 0.093 0.746

Theoretical density ... 6.3 g/cm3
Energy relative to the elements, uncorrected ... -0.03 eV/atom
Excess energy over the best structure of this formula in the dataset ... 36 meV per atom
Final energy ... -36.5 eV/cell

## ReSI (PBE-GGA)

Data for ReSI after structural relaxation.

Cell: 3.545 6.950 7.825 Å, 75.53 77.08 77.11°
Element x y z (fractional)
I: 0.658 0.945 0.173
I: 0.890 0.360 0.367
Re: 0.048 0.879 0.463
Re: 0.770 0.594 0.603
S: 0.145 0.443 0.803
S: 0.428 0.906 0.669

Theoretical density ... 6.4 g/cm3
Energy relative to the elements, uncorrected ... 0.10 eV/atom
Excess energy over the best structure of this formula in the dataset ... 169 meV per atom
Final energy ... -35.7 eV/cell

## Re2SI2 (PBE-GGA)

Data for Re2SI2 after structural relaxation.

Cell: 5.500 5.500 5.359 Å, 59.12 59.12 90.00°
Element x y z (fractional)
I: 0.750 0.250 0.500
I: 0.250 0.750 0.500
Re: 0.342 0.342 0.315
Re: 0.658 0.658 0.685
S: 0.000 0.000 0.000

Theoretical density ... 9.8 g/cm3
Energy relative to the elements, uncorrected ... 1.03 eV/atom
Excess energy over the best structure of this formula in the dataset ... 253 meV per atom
Final energy ... -27.0 eV/cell

## ReS3I (PBE-GGA)

Data for ReS3I after structural relaxation.

Cell: 4.681 4.681 4.681 Å, 90.00 90.00 90.00°
Element x y z (fractional)
I: 0.500 0.500 0.500
Re: 0.000 0.000 0.000
S: 0.000 0.500 0.000
S: 0.000 0.000 0.500
S: 0.500 0.000 0.000

Theoretical density ... 6.6 g/cm3
Energy relative to the elements, uncorrected ... 0.33 eV/atom
Excess energy over the best structure of this formula in the dataset ... 0 meV per atom
Final energy ... -24.7 eV/cell

## ReSI3 (PBE-GGA)

Data for ReSI3 after structural relaxation.

Cell: 5.359 5.359 5.359 Å, 90.00 90.00 90.00°
Element x y z (fractional)
I: 0.000 0.500 0.000
I: 0.000 0.000 0.500
I: 0.500 0.000 0.000
Re: 0.000 0.000 0.000
S: 0.500 0.500 0.500

Theoretical density ... 6.5 g/cm3
Energy relative to the elements, uncorrected ... 0.99 eV/atom
Excess energy over the best structure of this formula in the dataset ... 0 meV per atom
Final energy ... -16.3 eV/cell

## ReS3I (PBE-GGA)

Data for ReS3I after structural relaxation.

Cell: 5.054 5.054 5.054 Å, 90.00 90.00 90.00°
Last column: magnetic moment on the atom in μB.
Element x y z (fractional)
I: 0.000 0.000 0.000  -0.02
Re: 0.500 0.500 0.500  4.14
S: 0.000 0.500 0.000  0.01
S: 0.000 0.000 0.500  -0.01
S: 0.500 0.000 0.000  -0.01

Theoretical density ... 5.3 g/cm3
Energy relative to the elements, uncorrected ... 1.89 eV/atom
Excess energy over the best structure of this formula in the dataset ... 1557 meV per atom
Final energy ... -16.9 eV/cell

## ReSI (PBE-GGA)

Data for ReSI after structural relaxation.

Cell: 3.570 6.200 7.368 Å, 106.67 90.32 90.00°
Element x y z (fractional)
I: 0.747 0.990 0.278
I: 0.253 0.010 0.722
Re: 0.750 0.663 0.474
Re: 0.250 0.337 0.526
S: 0.753 0.508 0.723
S: 0.247 0.492 0.277

Theoretical density ... 7.3 g/cm3
Energy relative to the elements, uncorrected ... -0.05 eV/atom
Excess energy over the best structure of this formula in the dataset ... 21 meV per atom
Final energy ... -36.5 eV/cell

## ReSb2SI (PBE-GGA)

Data for ReSb2SI after structural relaxation.

Cell: 5.164 5.164 5.331 Å, 90.00 90.00 90.00°
Element x y z (fractional)
I: 0.000 0.000 0.500
Re: 0.000 0.000 0.000
S: 0.500 0.500 0.500
Sb: 0.000 0.500 0.000
Sb: 0.500 0.000 0.000

Theoretical density ... 6.9 g/cm3
Energy relative to the elements, uncorrected ... 0.83 eV/atom
Excess energy over the best structure of this formula in the dataset ... 0 meV per atom
Final energy ... -22.2 eV/cell

## ReSb2SI (PBE-GGA)

Data for ReSb2SI after structural relaxation.

Cell: 5.018 5.018 5.225 Å, 90.00 90.00 90.00°
Element x y z (fractional)
I: 0.000 0.000 0.500
Re: 0.500 0.500 0.500
S: 0.000 0.000 0.000
Sb: 0.000 0.500 0.000
Sb: 0.500 0.000 0.000

Theoretical density ... 7.4 g/cm3
Energy relative to the elements, uncorrected ... 1.69 eV/atom
Excess energy over the best structure of this formula in the dataset ... 862 meV per atom
Final energy ... -17.9 eV/cell

## Sc2ReSI (PBE-GGA)

Data for Sc2ReSI after structural relaxation.

Cell: 5.333 4.753 5.333 Å, 90.00 90.00 90.00°
Element x y z (fractional)
I: 0.000 0.000 0.000
Re: 0.000 0.500 0.000
S: 0.500 0.500 0.500
Sc: 0.000 0.000 0.500
Sc: 0.500 0.000 0.000

Theoretical density ... 5.3 g/cm3
Energy relative to the elements, uncorrected ... 1.21 eV/atom
Final energy ... -24.8 eV/cell

## ReTeSI2 (PBE-GGA)

Data for ReTeSI2 after structural relaxation.

Cell: 5.480 5.480 5.404 Å, 90.00 90.00 90.00°
Last column: magnetic moment on the atom in μB.
Element x y z (fractional)
I: 0.000 0.500 0.000  0.02
I: 0.500 0.000 0.000  0.02
Re: 0.500 0.500 0.500  4.17
S: 0.000 0.000 0.000  -0.09
Te: 0.000 0.000 0.500  -0.09

Theoretical density ... 6.1 g/cm3
Energy relative to the elements, uncorrected ... 1.50 eV/atom
Excess energy over the best structure of this formula in the dataset ... 553 meV per atom
Final energy ... -15.3 eV/cell

## ReTe2SI (PBE-GGA)

Data for ReTe2SI after structural relaxation.

Cell: 5.248 5.248 5.505 Å, 90.00 90.00 90.00°
Last column: magnetic moment on the atom in μB.
Element x y z (fractional)
I: 0.000 0.000 0.500  0.04
Re: 0.500 0.500 0.500  3.98
S: 0.000 0.000 0.000  -0.05
Te: 0.000 0.500 0.000  -0.02
Te: 0.500 0.000 0.000  -0.02

Theoretical density ... 6.6 g/cm3
Energy relative to the elements, uncorrected ... 1.49 eV/atom
Excess energy over the best structure of this formula in the dataset ... 598 meV per atom
Final energy ... -17.0 eV/cell

## ReTeSI2 (PBE-GGA)

Data for ReTeSI2 after structural relaxation.

Cell: 5.406 5.406 5.144 Å, 90.00 90.00 90.00°
Element x y z (fractional)
I: 0.000 0.500 0.000
I: 0.500 0.000 0.000
Re: 0.000 0.000 0.000
S: 0.500 0.500 0.500
Te: 0.000 0.000 0.500

Theoretical density ... 6.6 g/cm3
Energy relative to the elements, uncorrected ... 0.95 eV/atom
Excess energy over the best structure of this formula in the dataset ... 0 meV per atom
Final energy ... -18.1 eV/cell

## ReTe2SI (PBE-GGA)

Data for ReTe2SI after structural relaxation.

Cell: 5.154 5.154 5.490 Å, 90.00 90.00 90.00°
Element x y z (fractional)
I: 0.000 0.000 0.500
Re: 0.000 0.000 0.000
S: 0.500 0.500 0.500
Te: 0.000 0.500 0.000
Te: 0.500 0.000 0.000

Theoretical density ... 6.8 g/cm3
Energy relative to the elements, uncorrected ... 0.89 eV/atom
Excess energy over the best structure of this formula in the dataset ... 0 meV per atom
Final energy ... -20.0 eV/cell

## TlRe2SI (PBE-GGA)

Data for TlRe2SI after structural relaxation.

Cell: 4.443 7.388 4.443 Å, 90.00 90.00 90.00°
Last column: magnetic moment on the atom in μB.
Element x y z (fractional)
I: 0.500 0.500 0.500  0.05
Re: 0.000 0.000 0.500  0.89
Re: 0.500 0.000 0.000  1.06
Tl: 0.000 0.500 0.000  -0.01
S: 0.000 0.000 0.000  -0.04

Theoretical density ... 8.4 g/cm3
Energy relative to the elements, uncorrected ... 1.25 eV/atom
Final energy ... -26.7 eV/cell

## VRe2SI (PBE-GGA)

Data for VRe2SI after structural relaxation.

Cell: 4.300 6.010 4.300 Å, 90.00 90.00 90.00°
Last column: magnetic moment on the atom in μB.
Element x y z (fractional)
I: 0.000 0.500 0.000  0.07
Re: 0.000 0.000 0.500  0.84
Re: 0.500 0.000 0.000  0.91
S: 0.000 0.000 0.000  -0.03
V: 0.500 0.500 0.500  -0.02

Theoretical density ... 8.7 g/cm3
Energy relative to the elements, uncorrected ... 1.71 eV/atom
Final energy ... -31.1 eV/cell

## Re2SbI (PBE-GGA)

Data for Re2SbI after structural relaxation.

Cell: 6.047 6.047 7.217 Å, 65.24 65.24 90.00°
Element x y z (fractional)
I: 0.000 0.000 0.000
I: 0.750 0.250 0.500
Re: 0.632 0.125 0.250
Re: 0.118 0.625 0.250
Re: 0.375 0.368 0.750
Re: 0.875 0.882 0.750
Sb: 0.500 0.500 0.000
Sb: 0.250 0.750 0.500

Theoretical density ... 9.7 g/cm3
Energy relative to the elements, uncorrected ... 1.58 eV/atom
Excess energy over the best structure of this formula in the dataset ... 398 meV per atom
Final energy ... -48.5 eV/cell

## ReSb3I (PBE-GGA)

Data for ReSb3I after structural relaxation.

Cell: 5.687 5.687 5.687 Å, 90.00 90.00 90.00°
Last column: magnetic moment on the atom in μB.
Element x y z (fractional)
I: 0.000 0.000 0.000  -0.01
Re: 0.500 0.500 0.500  3.78
Sb: 0.000 0.500 0.000  -0.17
Sb: 0.000 0.000 0.500  -0.18
Sb: 0.500 0.000 0.000  -0.07

Theoretical density ... 6.1 g/cm3
Energy relative to the elements, uncorrected ... 2.18 eV/atom
Excess energy over the best structure of this formula in the dataset ... 1701 meV per atom
Final energy ... -15.5 eV/cell

## ReSbI (PBE-GGA)

Data for ReSbI after structural relaxation.

Cell: 3.920 7.577 10.198 Å, 67.64 56.22 56.58°
Element x y z (fractional)
I: 0.725 0.760 0.865
I: 0.275 0.240 0.135
Sb: 0.921 0.309 0.600
Sb: 0.079 0.691 0.400
Re: 0.696 0.966 0.597
Re: 0.304 0.034 0.403

Theoretical density ... 6.9 g/cm3
Energy relative to the elements, uncorrected ... 0.33 eV/atom
Final energy ... -34.3 eV/cell

## ReSb3I (PBE-GGA)

Data for ReSb3I after structural relaxation.

Cell: 5.243 5.243 5.243 Å, 90.00 90.00 90.00°
Element x y z (fractional)
I: 0.500 0.500 0.500
Re: 0.000 0.000 0.000
Sb: 0.000 0.500 0.000
Sb: 0.000 0.000 0.500
Sb: 0.500 0.000 0.000

Theoretical density ... 7.8 g/cm3
Energy relative to the elements, uncorrected ... 0.48 eV/atom
Excess energy over the best structure of this formula in the dataset ... 0 meV per atom
Final energy ... -24.0 eV/cell